Entry one
# UV2Os

UV2Os after structural relaxation (PBE, Alexandria).

The space group is Fm-3m (No. 225) and the conventional cell measures 6.2783, 6.2783 and 6.2783 Å, with angles of 90.00, 90.00 and 90.00 degrees. The asymmetric unit holds U at (0.0000, 0.0000, 0.0000), V at (0.2500, 0.2500, 0.2500) and Os at (0.0000, 0.0000, 0.5000).

The value obtained for the total magnetization is 4.33 Bohr magnetons per cell. The value obtained for the density of states at the Fermi level is 21.7 states/eV per cell. Its calculated density is 14.23 g/cm3.


Entry two
# UV2Os

UV2Os after structural relaxation (PBE, Alexandria).

The space group is P4/mmm (No. 123) and the conventional cell measures 3.8180, 3.8180 and 4.5241 Å, with angles of 90.00, 90.00 and 90.00 degrees. The asymmetric unit holds U at (0.0000, 0.0000, 0.0000), V at (0.0000, 0.5000, 0.5000) and Os at (0.5000, 0.5000, 0.0000).

The value obtained for the total magnetization is 2.24 Bohr magnetons per cell. The value obtained for the density of states at the Fermi level is 7.4 states/eV per cell. Its calculated density is 13.35 g/cm3.


If we sort the structures by their calculated energies, the order from most to least stable is entry one, entry two.


Entry one
# UOsW

UOsW after structural relaxation (PBE, Alexandria).

The space group is P3m1 (No. 156) and the conventional cell measures 4.6267, 4.6267 and 2.7940 Å, with angles of 90.00, 90.00 and 120.00 degrees. The asymmetric unit holds U at (0.0000, 0.0000, 0.0000), Os at (0.3333, 0.6667, 0.7096) and W at (0.6667, 0.3333, 0.2980).

The value obtained for the total magnetization is 0.00 Bohr magnetons per cell. The value obtained for the density of states at the Fermi level is 6.5 states/eV per cell. Its calculated density is 19.62 g/cm3.


Entry two
# UOsW

UOsW after structural relaxation (PBE, Alexandria).

The space group is I4mm (No. 107) and the conventional cell measures 2.9740, 2.9740 and 12.0710 Å, with angles of 90.00, 90.00 and 90.00 degrees. The asymmetric unit holds U at (0.0000, 0.0000, 0.0000), Os at (0.0000, 0.0000, 0.6813) and W at (0.0000, 0.0000, 0.3130).

The value obtained for the total magnetization is 0.00 Bohr magnetons per cell. The value obtained for the density of states at the Fermi level is 4.9 states/eV per cell. Its calculated density is 19.04 g/cm3.


Entry three
# UOsW

UOsW after structural relaxation (PBE, Alexandria).

The space group is P4_2/mmc (No. 131) and the conventional cell measures 6.6738, 6.6738 and 5.2900 Å, with angles of 90.00, 90.00 and 90.00 degrees. The asymmetric unit holds U at (0.0000, 0.3104, 0.0000), Os at (0.3125, 0.5000, 0.5000) and W at (0.0000, 0.2749, 0.5000).

The value obtained for the total magnetization is 2.09 Bohr magnetons per cell. The value obtained for the density of states at the Fermi level is 22.4 states/eV per cell. Its calculated density is 17.26 g/cm3.


If we sort the structures by their calculated energies, the order from most to least stable is entry two, entry one, entry three.


Entry one
# Zr2UOs

Zr2UOs after structural relaxation (PBE, Alexandria).

The space group is Fm-3m (No. 225) and the conventional cell measures 6.7786, 6.7786 and 6.7786 Å, with angles of 90.00, 90.00 and 90.00 degrees. The asymmetric unit holds Zr at (0.2500, 0.2500, 0.2500), U at (0.0000, 0.0000, 0.0000) and Os at (0.0000, 0.0000, 0.5000).

The value obtained for the total magnetization is 4.47 Bohr magnetons per cell. The value obtained for the density of states at the Fermi level is 18.2 states/eV per cell. Its calculated density is 13.02 g/cm3.


Entry two
# Zr2UOs

Zr2UOs after structural relaxation (PBE, Alexandria).

The space group is P4/mmm (No. 123) and the conventional cell measures 4.9253, 4.9253 and 3.2417 Å, with angles of 90.00, 90.00 and 90.00 degrees. The asymmetric unit holds Zr at (0.0000, 0.5000, 0.0000), U at (0.0000, 0.0000, 0.5000) and Os at (0.5000, 0.5000, 0.5000).

The value obtained for the total magnetization is 1.65 Bohr magnetons per cell. The value obtained for the density of states at the Fermi level is 7.6 states/eV per cell. Its calculated density is 12.90 g/cm3.


Entry three
# Zr2UOs

Zr2UOs after structural relaxation (PBE, Alexandria).

The space group is P4/mmm (No. 123) and the conventional cell measures 3.2171, 3.2171 and 7.9636 Å, with angles of 90.00, 90.00 and 90.00 degrees. The asymmetric unit holds Zr at (0.0000, 0.0000, 0.2109), U at (0.5000, 0.5000, 0.5000) and Os at (0.5000, 0.5000, 0.0000).

The value obtained for the total magnetization is 2.11 Bohr magnetons per cell. The value obtained for the density of states at the Fermi level is 7.1 states/eV per cell. Its calculated density is 12.30 g/cm3.


If we sort the structures by their calculated energies, the order from most to least stable is entry three, entry one, entry two.


Entry one
# V4Os

V4Os after structural relaxation (PBE, Alexandria).

The space group is C2/m (No. 12) and the conventional cell measures 7.3279, 4.2196 and 4.9916 Å, with angles of 90.00, 119.24 and 90.00 degrees. The asymmetric unit holds V at (0.0995, 0.0000, 0.2985), V at (0.1980, 0.5000, 0.0938) and Os at (0.0000, 0.5000, 0.5000).

The value obtained for the total magnetization is 0.00 Bohr magnetons per cell. The value obtained for the density of states at the Fermi level is 7.0 states/eV per cell. Its calculated density is 9.72 g/cm3.


Entry two
# V4Os

V4Os after structural relaxation (PBE, Alexandria).

The space group is Pm-3m (No. 221) and the conventional cell measures 4.6171, 4.6171 and 4.6171 Å, with angles of 90.00, 90.00 and 90.00 degrees. The asymmetric unit holds V at (0.0000, 0.0000, 0.0000), V at (0.0000, 0.5000, 0.5000) and Os at (0.5000, 0.5000, 0.5000).

The value obtained for the total magnetization is 1.74 Bohr magnetons per cell. The value obtained for the density of states at the Fermi level is 9.3 states/eV per cell. Its calculated density is 6.65 g/cm3.


If we sort the structures by their calculated energies, the order from most to least stable is entry one, entry two.


Entry one
# V4Os

V4Os after structural relaxation (PBE, Alexandria).

The space group is Fmmm (No. 69) and the conventional cell measures 3.0144, 4.3974 and 20.6401 Å, with angles of 90.00, 90.00 and 90.00 degrees. The asymmetric unit holds V at (0.0000, 0.0000, 0.1013), V at (0.0000, 0.0000, 0.2994) and Os at (0.0000, 0.0000, 0.5000).

The value obtained for the total magnetization is 0.00 Bohr magnetons per cell. The value obtained for the density of states at the Fermi level is 26.2 states/eV per cell. Its calculated density is 9.57 g/cm3.


Entry two
# V4Os

V4Os after structural relaxation (PBE, Alexandria).

The space group is Fddd (No. 70, origin choice 2) and the conventional cell measures 5.0015, 8.7358 and 12.6340 Å, with angles of 90.00, 90.00 and 90.00 degrees. The asymmetric unit holds V at (0.1250, 0.1250, 0.0259), V at (0.1250, 0.1250, 0.4255) and Os at (0.1250, 0.1250, 0.6250).

The value obtained for the total magnetization is 0.00 Bohr magnetons per cell. The value obtained for the density of states at the Fermi level is 46.0 states/eV per cell. Its calculated density is 9.48 g/cm3.


If we sort the structures by their calculated energies, the order from most to least stable is entry one, entry two.


Entry one
# VOsW

VOsW after structural relaxation (PBE, Alexandria).

The space group is P3m1 (No. 156) and the conventional cell measures 4.3076, 4.3076 and 2.7367 Å, with angles of 90.00, 90.00 and 120.00 degrees. The asymmetric unit holds V at (0.0000, 0.0000, 0.0000), Os at (0.6667, 0.3333, 0.6661) and W at (0.3333, 0.6667, 0.3020).

The value obtained for the total magnetization is 0.00 Bohr magnetons per cell. The value obtained for the density of states at the Fermi level is 2.6 states/eV per cell. Its calculated density is 16.05 g/cm3.


Entry two
# VOsW

VOsW after structural relaxation (PBE, Alexandria).

The space group is P4/nmm (No. 129, origin choice 2) and the conventional cell measures 3.7283, 3.7283 and 6.7339 Å, with angles of 90.00, 90.00 and 90.00 degrees. The asymmetric unit holds V at (0.2500, 0.7500, 0.0000), Os at (0.2500, 0.2500, 0.2737) and W at (0.2500, 0.2500, 0.6482).

The value obtained for the total magnetization is 0.00 Bohr magnetons per cell. The value obtained for the density of states at the Fermi level is 6.8 states/eV per cell. Its calculated density is 15.08 g/cm3.


If we sort the structures by their calculated energies, the order from most to least stable is entry one, entry two.